Ba2SbH: relaxed, GGA-PBE.

Summary:
calculated density	4.4	g/cm³
energy	-0.2523	Ry/atom

The structure in extended XYZ format:
```
4
Lattice="4.747 0.000 0.000 2.373 4.111 0.000 2.373 1.370 7.661" Properties=species:S:1:pos:R:3 pbc="T T T"
Ba 2.373 1.370 5.886
Ba 2.373 1.370 1.830
Sb 4.747 2.740 3.856
H 7.120 4.111 7.580
```